Entry 1:
Computed, not measured: a relaxed structure of TaRu at the PBE level of DFT.

Summary:
**VASP energy**: -10.386 eV/atom
**Energy relative to the elements**: 178 meV/atom

Lattice parameters (Å, degrees): 4.4784 4.4784 7.8067 90.00 90.00 120.00
Closest atoms and distances in Å follow each position.
Space group P6_3/mmc (No. 194)
Asymmetric unit:
Ta  0.3333  0.6667  0.0773  1 Ru 2.55, 4 Ta 2.70-2.85
Ru  0.0000  0.0000  0.2500  3 Ru 2.59
Ru  0.3333  0.6667  0.7500  2 Ta 2.55, 3 Ru 2.59

---

Entry 2:
Computed, not measured: a relaxed structure of La2YBe at the PBE level of DFT.

Summary:
**VASP energy**: -4.918 eV/atom
**Energy relative to the elements**: 93 meV/atom

Lattice parameters (Å, degrees): 3.5676 3.5676 8.9760 90.00 90.00 90.00
Closest atoms and distances in Å follow each position.
Space group P4mm (No. 99)
Asymmetric unit:
La  0.0000  0.0000  0.0000  4 Be 3.12, 1 Y 3.34
La  0.5000  0.5000  0.3224  8 La 3.57-3.84, 4 Y 3.73
Y  0.0000  0.0000  0.6279  4 Be 2.94
Be  0.5000  0.5000  0.7957  4 Y 2.94, 4 La 3.12

---

Entry 3:
Computed, not measured: a relaxed structure of Li2Pd9W at the PBE level of DFT.

Summary:
**VASP energy**: -5.493 eV/atom
**Energy relative to the elements**: -200 meV/atom

Lattice parameters (Å, degrees): 3.9116 3.9116 11.7481 90.00 90.00 90.00
Closest atoms and distances in Å follow each position.
Space group P4/mmm (No. 123)
Asymmetric unit:
Li  0.0000  0.0000  0.1613  12 Pd 2.72-2.85
Pd  0.0000  0.5000  0.0000  4 Li 2.72, 8 Pd 2.77-2.78
Pd  0.0000  0.5000  0.3375  2 W 2.73, 8 Pd 2.73-2.79, 2 Li 2.85
Pd  0.5000  0.5000  0.1685  4 Li 2.77, 8 Pd 2.78-2.79
Pd  0.5000  0.5000  0.5000  8 Pd 2.73, 4 W 2.77
W  0.0000  0.0000  0.5000  12 Pd 2.73-2.77

---

| no. | magnetization (μB/f.u.) |
| --- | --- |
| 1 | 0.00 |
| 2 | 0.00 |
| 3 | 0.00 |